Record 1
{"formula": "MgFeGe2", "functional": "PBE-GGA", "state": "optimized geometry", "formation_energy_kj_per_mol_atoms": -12, "final_energy_ev_per_cell": -39.587, "magmom_total_mub_per_fu": 0.72, "space_group": "No. 63", "lattice_angstrom": [[-1.206, 3.106, 0.567], [-3.840, -3.054, -1.507], [-1.367, -1.852, 7.233]], "species": ["Mg", "Mg", "Fe", "Fe", "Ge", "Ge", "Ge", "Ge"], "fractional_positions": [[0.948, 0.895, 0.250], [0.052, 0.105, 0.750], [0.225, 0.449, 0.250], [0.775, 0.551, 0.750], [0.356, 0.711, 0.539], [0.644, 0.289, 0.461], [0.644, 0.289, 0.039], [0.356, 0.711, 0.961]]}

***

Record 2
{"formula": "MgFeGe", "functional": "PBE-GGA", "state": "optimized geometry", "formation_energy_kj_per_mol_atoms": -3, "final_energy_ev_per_cell": -14.780, "magmom_total_mub_per_fu": 0.00, "space_group": "No. 107", "lattice_angstrom": [[3.065, 0.000, 0.000], [0.000, 3.065, 0.000], [-1.533, -1.533, 4.653]], "species": ["Mg", "Ge", "Fe"], "fractional_positions": [[0.006, 0.006, 0.012], [0.305, 0.305, 0.610], [0.689, 0.689, 0.378]]}

***

> What is the formula in the first record?

MgFeGe2

***

What did the second record say?
{"formula": "MgFeGe", "functional": "PBE-GGA", "state": "optimized geometry", "formation_energy_kj_per_mol_atoms": -3, "final_energy_ev_per_cell": -14.780, "magmom_total_mub_per_fu": 0.00, "space_group": "No. 107", "lattice_angstrom": [[3.065, 0.000, 0.000], [0.000, 3.065, 0.000], [-1.533, -1.533, 4.653]], "species": ["Mg", "Ge", "Fe"], "fractional_positions": [[0.006, 0.006, 0.012], [0.305, 0.305, 0.610], [0.689, 0.689, 0.378]]}